## P
{"formula": "YTl2Re", "functional": "PBE", "state": "optimized geometry", "dos_ef_per_ev_fu": 0.91, "sg": "No. 12", "cell": [[4.9657, -1.8634, 0.0000], [4.9657, 1.8634, 0.0000], [-1.6284, 0.0000, 4.9095]], "species": ["Y", "Tl", "Tl", "Re"], "frac_coords": [[0.0000, 0.0000, 0.0000], [0.2342, 0.2342, 0.7171], [0.7658, 0.7658, 0.2829], [0.5000, 0.5000, 0.5000]]}

***

## Q
{"formula": "YTl2Re", "functional": "PBE", "state": "optimized geometry", "dos_ef_per_ev_fu": 4.81, "sg": "No. 225", "cell": [[0.0000, 3.5168, 3.5168], [3.5168, 0.0000, 3.5168], [3.5168, 3.5168, 0.0000]], "species": ["Y", "Tl", "Tl", "Re"], "frac_coords": [[0.0000, 0.0000, 0.0000], [0.2500, 0.2500, 0.2500], [0.7500, 0.7500, 0.7500], [0.5000, 0.5000, 0.5000]]}

***

Energy relative to the most stable one, in eV/atom: P 0.000; Q 0.090

***

## P
{"formula": "YTl2Re", "functional": "PBE", "state": "optimized geometry", "dos_ef_per_ev_fu": 2.67, "sg": "No. 139", "cell": [[-2.2741, 2.2741, 4.2328], [2.2741, -2.2741, 4.2328], [2.2741, 2.2741, -4.2328]], "species": ["Y", "Tl", "Tl", "Re"], "frac_coords": [[0.0000, 0.0000, 0.0000], [0.2500, 0.7500, 0.5000], [0.7500, 0.2500, 0.5000], [0.5000, 0.5000, 0.0000]]}

***

## Q
{"formula": "YTl2Re", "functional": "PBE", "state": "optimized geometry", "dos_ef_per_ev_fu": 5.33, "sg": "No. 216", "cell": [[0.0000, 3.5927, 3.5927], [3.5927, 0.0000, 3.5927], [3.5927, 3.5927, 0.0000]], "species": ["Y", "Tl", "Tl", "Re"], "frac_coords": [[0.0000, 0.0000, 0.0000], [0.5000, 0.5000, 0.5000], [0.7500, 0.7500, 0.7500], [0.2500, 0.2500, 0.2500]]}

***

Energy relative to the most stable one, in eV/atom: P 0.000; Q 0.287

***

## P
{"formula": "YTl2Re", "functional": "PBE", "state": "optimized geometry", "dos_ef_per_ev_fu": 4.53, "sg": "No. 123", "cell": [[3.4305, 0.0000, 0.0000], [0.0000, 3.4305, 0.0000], [0.0000, 0.0000, 7.5424]], "species": ["Y", "Tl", "Tl", "Re"], "frac_coords": [[0.0000, 0.0000, 0.0000], [0.5000, 0.5000, 0.2842], [0.5000, 0.5000, 0.7158], [0.0000, 0.0000, 0.5000]]}

***

## Q
{"formula": "YTl2Re", "functional": "PBE", "state": "optimized geometry", "dos_ef_per_ev_fu": 2.68, "sg": "No. 166", "cell": [[1.6311, 0.9417, 9.8555], [-1.6311, 0.9417, 9.8555], [0.0000, -1.8834, 9.8555]], "species": ["Y", "Tl", "Tl", "Re"], "frac_coords": [[0.0000, 0.0000, 0.0000], [0.2416, 0.2416, 0.2416], [0.7584, 0.7584, 0.7584], [0.5000, 0.5000, 0.5000]]}

***

Energy relative to the most stable one, in eV/atom: P 0.000; Q 0.068

***

## P
{"formula": "Y2Tl2Re", "functional": "PBE", "state": "optimized geometry", "dos_ef_per_ev_fu": 3.51, "sg": "No. 139", "cell": [[-1.9573, 1.9573, 9.0620], [1.9573, -1.9573, 9.0620], [1.9573, 1.9573, -9.0620]], "species": ["Y", "Y", "Tl", "Tl", "Re"], "frac_coords": [[0.0851, 0.0851, 0.0000], [0.9149, 0.9149, 0.0000], [0.2500, 0.7500, 0.5000], [0.7500, 0.2500, 0.5000], [0.5000, 0.5000, 0.0000]]}

***

## Q
{"formula": "Y2Tl2Re", "functional": "PBE", "state": "optimized geometry", "dos_ef_per_ev_fu": 3.55, "sg": "No. 127", "cell": [[7.4516, 0.0000, 0.0000], [0.0000, 7.4516, 0.0000], [0.0000, 0.0000, 4.9346]], "species": ["Y", "Y", "Y", "Y", "Tl", "Tl", "Tl", "Tl", "Re", "Re"], "frac_coords": [[0.1650, 0.3350, 0.0000], [0.3350, 0.8350, 0.0000], [0.6650, 0.1650, 0.0000], [0.8350, 0.6650, 0.0000], [0.1525, 0.6525, 0.5000], [0.3475, 0.1525, 0.5000], [0.6525, 0.8475, 0.5000], [0.8475, 0.3475, 0.5000], [0.0000, 0.0000, 0.0000], [0.5000, 0.5000, 0.0000]]}

***

Energy relative to the most stable one, in eV/atom: P 0.053; Q 0.000